Record 1
{"formula": "Sr2AgSb2Au", "functional": "PBE-GGA", "state": "relaxed", "dft_energy_ev_per_fu": -22.66, "lattice_angstrom": [[4.7796, 0.0000, 0.0000], [-2.3898, 4.1392, 0.0000], [0.0000, 0.0000, 8.6756]], "species": ["Sr", "Sr", "Ag", "Sb", "Sb", "Au"], "frac_coords": [[0.0000, 0.0000, 0.2501], [0.0000, 0.0000, 0.7499], [0.6667, 0.3333, 0.0000], [0.3333, 0.6667, 0.0000], [0.6667, 0.3333, 0.5000], [0.3333, 0.6667, 0.5000]]}

Record 2
{"formula": "ScAgAu", "functional": "PBE-GGA", "state": "relaxed", "dft_energy_ev_per_fu": -14.18, "formation_energy_ev_per_atom": -0.59, "lattice_angstrom": [[3.5590, 0.0000, 0.0000], [0.0000, 3.5590, 0.0000], [0.0000, 0.0000, 8.8923]], "species": ["Sc", "Sc", "Ag", "Ag", "Au", "Au"], "frac_coords": [[0.2500, 0.2500, 0.2418], [0.7500, 0.7500, 0.7582], [0.2500, 0.2500, 0.5799], [0.7500, 0.7500, 0.4201], [0.2500, 0.2500, 0.9078], [0.7500, 0.7500, 0.0922]]}